[1]
Material: Rb2AcBr6
Method: DFT, PBE
State: relaxed

a = 5.3796 Å, b = 8.4380 Å, c = 9.5940 Å
α = 116.09°, β = 106.18°, γ = 90.00°
Last column: nearest neighbours and their distance in Å.
Sites, in units of the cell vectors:
Rb: 0.3297 0.3295 0.6590  8 Br 3.54-3.70
Rb: 0.6703 0.6705 0.3410  8 Br 3.54-3.70
Ac: 0.0000 0.0000 0.0000  8 Br 3.12-3.24
Br: 0.8510 0.0807 0.7019  1 Ac 3.12
Br: 0.1490 0.3789 0.2981  1 Ac 3.12
Br: 0.1490 0.9193 0.2981  1 Ac 3.12
Br: 0.5000 0.2132 0.0000  2 Ac 3.24, 1 Br 3.60
Br: 0.8510 0.6211 0.7019  1 Ac 3.12
Br: 0.5000 0.7868 0.0000  2 Ac 3.24, 1 Br 3.60

- Energy above the lowest structure with this stoichiometry: 14 meV per atom
- Space-group type: C2/m, No. 12
- Spin magnetization: 0.03 μB/f.u.


[2]
Material: SrSnSN2
Method: DFT, PBE
State: relaxed

a = 4.7539 Å, b = 4.7539 Å, c = 5.7868 Å
α = 90.00°, β = 90.00°, γ = 90.00°
Last column: nearest neighbours and their distance in Å.
Sites, in units of the cell vectors:
Sr: 0.0000 0.0000 0.0000  4 N 2.38
S: 0.0000 0.0000 0.5000  2 Sr 2.89
Sn: 0.5000 0.5000 0.5000  4 S 3.36, 8 N 3.74
N: 0.0000 0.5000 0.0000  2 Sr 2.38
N: 0.5000 0.0000 0.0000  2 Sr 2.38

- Energy above the lowest structure with this stoichiometry: 1000 meV per atom
- Space-group type: P4/mmm, No. 123
- Spin magnetization: 4.00 μB/f.u.


[3]
Material: LiDyMgCo
Method: DFT, PBE
State: relaxed

a = 4.6841 Å, b = 4.6841 Å, c = 4.6841 Å
α = 60.00°, β = 60.00°, γ = 60.00°
Last column: nearest neighbours and their distance in Å.
Sites, in units of the cell vectors:
Mg: 0.0000 0.0000 0.0000  4 Li 2.87, 4 Co 2.87
Li: 0.2500 0.2500 0.2500  4 Dy 2.87, 4 Mg 2.87
Co: 0.7500 0.7500 0.7500  4 Dy 2.87, 4 Mg 2.87
Dy: 0.5000 0.5000 0.5000  4 Co 2.87, 4 Li 2.87

- Space-group type: F-43m, No. 216
- Formation energy from the elements: 10 meV per atom
- Spin magnetization: 0.00 μB/f.u.


[4]
Material: Y3Mg3Ni
Method: DFT, PBE
State: relaxed

a = 10.0865 Å, b = 10.0865 Å, c = 10.0865 Å
α = 60.00°, β = 60.00°, γ = 60.00°
Last column: nearest neighbours and their distance in Å.
Sites, in units of the cell vectors:
Y: 0.0513 0.4487 0.0513  2 Ni 2.73
Y: 0.1987 0.1987 0.8013  2 Ni 2.73
Y: 0.8013 0.8013 0.1987  2 Ni 2.73
Y: 0.8013 0.1987 0.8013  2 Ni 2.73
Y: 0.8013 0.1987 0.1987  2 Ni 2.73
Y: 0.1987 0.8013 0.8013  2 Ni 2.73
Y: 0.4487 0.0513 0.0513  2 Ni 2.73
Y: 0.0513 0.0513 0.4487  2 Ni 2.73
Y: 0.4487 0.4487 0.0513  2 Ni 2.73
Y: 0.0513 0.4487 0.4487  2 Ni 2.73
Y: 0.1987 0.8013 0.1987  2 Ni 2.73
Y: 0.4487 0.0513 0.4487  2 Ni 2.73
Mg: 0.8305 0.8305 0.8305  6 Mg 3.07-3.25
Mg: 0.4195 0.4195 0.7415  6 Mg 3.07-3.25
Mg: 0.4195 0.7415 0.4195  6 Mg 3.07-3.25
Mg: 0.7415 0.4195 0.4195  6 Mg 3.07-3.25
Mg: 0.8305 0.5085 0.8305  6 Mg 3.07-3.25
Mg: 0.5085 0.8305 0.8305  6 Mg 3.07-3.25
Mg: 0.8305 0.8305 0.5085  6 Mg 3.07-3.25
Mg: 0.4195 0.4195 0.4195  6 Mg 3.07-3.25
Mg: 0.6250 0.6250 0.6250  6 Mg 3.07
Mg: 0.6250 0.6250 0.1250  6 Mg 3.07
Mg: 0.6250 0.1250 0.6250  6 Mg 3.07
Mg: 0.1250 0.6250 0.6250  6 Mg 3.07
Ni: 0.1250 0.1250 0.1250  6 Y 2.73
Ni: 0.1250 0.1250 0.6250  6 Y 2.73
Ni: 0.1250 0.6250 0.1250  6 Y 2.73
Ni: 0.6250 0.1250 0.1250  6 Y 2.73

- Space-group type: Fd-3m, No. 227
- Formation energy from the elements: -161 meV per atom
- Spin magnetization: 0.00 μB/f.u.


[5]
Material: Lu2OsPd
Method: DFT, PBE
State: relaxed

a = 3.3841 Å, b = 3.3841 Å, c = 6.7511 Å
α = 90.00°, β = 90.00°, γ = 90.00°
Last column: nearest neighbours and their distance in Å.
Sites, in units of the cell vectors:
Lu: 0.0000 0.0000 0.7605  4 Os 2.89, 4 Pd 2.97, 1 Lu 3.23
Lu: 0.0000 0.0000 0.2395  4 Os 2.89, 4 Pd 2.97, 1 Lu 3.23
Os: 0.5000 0.5000 0.0000  8 Lu 2.89
Pd: 0.5000 0.5000 0.5000  8 Lu 2.97

- Energy above the lowest structure with this stoichiometry: 0 meV per atom
- Space-group type: P4/mmm, No. 123
- Formation energy from the elements: -690 meV per atom
- Spin magnetization: 0.00 μB/f.u.


[6]
Material: Na2NiAu
Method: DFT, PBE
State: relaxed

a = 7.8890 Å, b = 7.8890 Å, c = 6.1609 Å
α = 50.19°, β = 50.19°, γ = 90.00°
Last column: nearest neighbours and their distance in Å.
Sites, in units of the cell vectors:
Ni: 0.5000 0.5000 0.0000  2 Au 2.61, 4 Na 2.78
Ni: 0.2500 0.7500 0.5000  2 Au 2.61, 4 Na 2.78
Au: 0.0000 0.0000 0.0000  2 Ni 2.61
Au: 0.7500 0.2500 0.5000  2 Ni 2.61
Na: 0.6089 0.1250 0.2500  2 Na 2.63, 2 Ni 2.78
Na: 0.1411 0.6250 0.2500  2 Na 2.63, 2 Ni 2.78
Na: 0.3750 0.3911 0.7500  2 Na 2.63, 2 Ni 2.78
Na: 0.8750 0.8589 0.7500  2 Na 2.63, 2 Ni 2.78

- Energy above the lowest structure with this stoichiometry: 0 meV per atom
- Space-group type: I-42d, No. 122
- Formation energy from the elements: 281 meV per atom
- Spin magnetization: 0.00 μB/f.u.


[7]
Material: MnCu2Ag
Method: DFT, PBE
State: relaxed

a = 6.9201 Å, b = 6.9201 Å, c = 5.5505 Å
α = 51.44°, β = 51.44°, γ = 90.00°
Last column: nearest neighbours and their distance in Å.
Sites, in units of the cell vectors:
Mn: 0.5000 0.5000 0.0000  4 Cu 2.48, 2 Ag 2.62
Mn: 0.2500 0.7500 0.5000  4 Cu 2.48, 2 Ag 2.62
Cu: 0.6147 0.1250 0.2500  2 Mn 2.48, 2 Ag 2.58, 2 Cu 2.62
Cu: 0.1353 0.6250 0.2500  2 Mn 2.48, 2 Ag 2.58, 2 Cu 2.62
Cu: 0.3750 0.3853 0.7500  2 Mn 2.48, 2 Ag 2.58, 2 Cu 2.62
Cu: 0.8750 0.8647 0.7500  2 Mn 2.48, 2 Ag 2.58, 2 Cu 2.62
Ag: 0.0000 0.0000 0.0000  4 Cu 2.58, 2 Mn 2.62
Ag: 0.7500 0.2500 0.5000  4 Cu 2.58, 2 Mn 2.62

- Energy above the lowest structure with this stoichiometry: 339 meV per atom
- Space-group type: I-42d, No. 122
- Formation energy from the elements: 487 meV per atom
- Spin magnetization: 4.22 μB/f.u.


[8]
Material: Ca3MgAg
Method: DFT, PBE
State: relaxed

a = 5.1158 Å, b = 7.6160 Å, c = 8.9192 Å
α = 111.33°, β = 90.00°, γ = 90.00°
Last column: nearest neighbours and their distance in Å.
Sites, in units of the cell vectors:
Ca: 0.7500 0.6363 0.3971  3 Ag 3.08-3.40
Ca: 0.2500 0.3637 0.6029  3 Ag 3.08-3.40
Ca: 0.7500 0.3148 0.9403  1 Ag 3.01
Ca: 0.2500 0.9469 0.7585  3 Ag 3.08-3.25, 2 Mg 3.34
Ca: 0.2500 0.6852 0.0597  1 Ag 3.01
Ca: 0.7500 0.0531 0.2415  3 Ag 3.08-3.25, 2 Mg 3.34
Mg: 0.2500 0.3049 0.1850  8 Ca 3.34-3.61
Mg: 0.7500 0.6951 0.8150  8 Ca 3.34-3.61
Ag: 0.2500 0.9359 0.4098  2 Ag 2.99, 5 Ca 3.01-3.25
Ag: 0.7500 0.0641 0.5902  2 Ag 2.99, 5 Ca 3.01-3.25

- Energy above the lowest structure with this stoichiometry: 0 meV per atom
- Space-group type: P2_1/m, No. 11
- Formation energy from the elements: -125 meV per atom
- Spin magnetization: 0.00 μB/f.u.


[9]
Material: TmPa2MnN5
Method: DFT, PBE
State: relaxed

a = 3.3344 Å, b = 6.8715 Å, c = 10.2301 Å
α = 90.00°, β = 90.00°, γ = 104.04°
Last column: nearest neighbours and their distance in Å.
Sites, in units of the cell vectors:
Tm: 0.7977 0.5954 0.5046  6 N 2.25-2.40
Tm: 0.2023 0.4046 0.0046  6 N 2.25-2.40
Pa: 0.8584 0.7169 0.8001  5 N 2.35-2.59
Pa: 0.1069 0.2137 0.6873  8 N 2.32-2.56
Pa: 0.1416 0.2831 0.3001  5 N 2.35-2.59
Pa: 0.8931 0.7863 0.1873  8 N 2.32-2.56
Mn: 0.5157 0.0313 0.9621  4 N 1.93-1.98
Mn: 0.4843 0.9687 0.4621  4 N 1.93-1.98
N: 0.3720 0.7441 0.0000  1 Mn 1.95
N: 0.6690 0.3380 0.8566  2 Tm 2.30, 1 Mn 2.31, 2 Pa 2.54
N: 0.4811 0.9623 0.7790  1 Mn 1.93
N: 0.2806 0.5613 0.6719  3 Pa 2.32-2.36, 2 Tm 2.40
N: 0.9607 0.9214 0.5624  2 Mn 1.98
N: 0.6280 0.2559 0.5000  1 Mn 1.95
N: 0.3310 0.6620 0.3566  2 Tm 2.30, 1 Mn 2.31, 2 Pa 2.54
N: 0.5189 0.0377 0.2790  1 Mn 1.93
N: 0.7194 0.4387 0.1719  3 Pa 2.32-2.36, 2 Tm 2.40
N: 0.0393 0.0786 0.0624  2 Mn 1.98

- Space-group type: Cmc2_1, No. 36
- Spin magnetization: 2.50 μB/f.u.
- Total DFT energy (no corrections): -9.51 eV/atom


[10]
Material: ZrBe2Sb
Method: DFT, PBE
State: relaxed

a = 5.0995 Å, b = 5.0995 Å, c = 5.0995 Å
α = 134.40°, β = 134.41°, γ = 66.45°
Last column: nearest neighbours and their distance in Å.
Sites, in units of the cell vectors:
Sb: 0.7500 0.2500 0.5000  4 Zr 2.79, 8 Be 2.91
Zr: 0.2500 0.7500 0.5000  4 Sb 2.79, 8 Be 2.91
Be: 0.9999 0.9999 0.0000  4 Be 2.79, 4 Zr 2.91, 4 Sb 2.91
Be: 0.5001 0.5001 0.0000  4 Be 2.79, 4 Zr 2.91, 4 Sb 2.91

- Space-group type: I4/mmm, No. 139
- Spin magnetization: 0.00 μB/f.u.
- Total DFT energy (no corrections): -4.84 eV/atom


[11]
Material: SrMn2Au
Method: DFT, PBE
State: relaxed

a = 4.5241 Å, b = 4.5241 Å, c = 6.0883 Å
α = 68.25°, β = 68.25°, γ = 59.95°
Last column: nearest neighbours and their distance in Å.
Sites, in units of the cell vectors:
Au: 0.2500 0.2500 0.2500  6 Mn 2.68
Mn: 0.9520 0.9520 0.1441  3 Au 2.68, 3 Mn 2.86
Mn: 0.5480 0.5480 0.3559  3 Au 2.68, 3 Mn 2.86
Sr: 0.7500 0.7500 0.7500  8 Mn 3.33-3.40

- Space-group type: R-3m, No. 166
- Formation energy from the elements: 169 meV per atom
- Spin magnetization: 8.12 μB/f.u.


[12]
Material: YTlP2
Method: DFT, PBE
State: relaxed

a = 4.9760 Å, b = 4.9760 Å, c = 4.9760 Å
α = 60.00°, β = 60.00°, γ = 60.00°
Last column: nearest neighbours and their distance in Å.
Sites, in units of the cell vectors:
Y: 0.0000 0.0000 0.0000  8 P 3.05
P: 0.2500 0.2500 0.2500  4 Tl 3.05, 4 Y 3.05
P: 0.7500 0.7500 0.7500  4 Y 3.05, 4 Tl 3.05
Tl: 0.5000 0.5000 0.5000  8 P 3.05

- Energy above the lowest structure with this stoichiometry: 400 meV per atom
- Space-group type: Fm-3m, No. 225
- Formation energy from the elements: -196 meV per atom
- Spin magnetization: 0.00 μB/f.u.